# CrIr3Rh | the Alexandria database | PBE-GGA | optimized geometry
data_CrIr3Rh
_chemical_formula_sum 'Cr4 Ir12 Rh4'
_symmetry_space_group_name_H-M 'C 1 m 1'
_symmetry_Int_Tables_number 8
_cell_length_a 13.777
_cell_length_b 3.836
_cell_length_c 5.403
_cell_angle_alpha 90.00
_cell_angle_beta 100.85
_cell_angle_gamma 90.00
loop_
_symmetry_equiv_pos_as_xyz
'x,y,z'
'x,-y,z'
'x+1/2,y+1/2,z'
'x+1/2,-y+1/2,z'
loop_
_atom_site_label
_atom_site_type_symbol
_atom_site_fract_x
_atom_site_fract_y
_atom_site_fract_z
Cr1 Cr 0.000 0.000 0.000
Cr2 Cr 0.100 0.500 0.309
Ir1 Ir 0.004 0.000 0.496
Ir2 Ir 0.099 0.500 0.810
Ir3 Ir 0.199 0.000 0.598
Ir4 Ir 0.298 0.500 0.402
Ir5 Ir 0.304 0.500 0.906
Ir6 Ir 0.406 0.000 0.200
Rh1 Rh 0.196 0.000 0.106
Rh2 Rh 0.401 0.000 0.706
# - calculated volume (Å³/atom) = 14.02
# - energy (eV/atom) = -8.83
# - energy relative to the elements (eV per atom) = -0.115
# - Fermi-level density of states (states/eV per cell) = 19.119



# ReMoSe2Br | the Alexandria database | PBE-GGA | optimized geometry
data_ReMoSe2Br
_chemical_formula_sum 'Re1 Mo1 Se2 Br1'
_symmetry_space_group_name_H-M 'P 4/m m m'
_symmetry_Int_Tables_number 123
_symmetry_space_group_name_Hall '-P 4 2'
_cell_length_a 4.905
_cell_length_b 4.905
_cell_length_c 5.301
_cell_angle_alpha 90.00
_cell_angle_beta 90.00
_cell_angle_gamma 90.00
loop_
_atom_site_label
_atom_site_type_symbol
_atom_site_fract_x
_atom_site_fract_y
_atom_site_fract_z
Re1 Re 0.000 0.000 0.000
Mo1 Mo 0.500 0.500 0.500
Se1 Se 0.000 0.500 0.500
Br1 Br 0.500 0.500 0.000
# - calculated volume (Å³/atom) = 25.51
# - energy (eV/atom) = -5.16
# - energy relative to the elements, uncorrected (eV/atom) = 1.228
# - Fermi-level density of states (states/eV per cell) = 4.753



# LiCa2Hg2 | the Alexandria database | PBE-GGA | optimized geometry
data_LiCa2Hg2
_chemical_formula_sum 'Li2 Ca4 Hg4'
_symmetry_space_group_name_H-M 'P 4/m b m'
_symmetry_Int_Tables_number 127
_symmetry_space_group_name_Hall '-P 4 2ab'
_cell_length_a 8.849
_cell_length_b 8.849
_cell_length_c 3.657
_cell_angle_alpha 90.00
_cell_angle_beta 90.00
_cell_angle_gamma 90.00
loop_
_atom_site_label
_atom_site_type_symbol
_atom_site_fract_x
_atom_site_fract_y
_atom_site_fract_z
Li1 Li 0.000 0.000 0.000
Ca1 Ca 0.146 0.354 0.000
Hg1 Hg 0.150 0.650 0.500
# - calculated volume (Å³/atom) = 28.63
# - energy (eV/atom) = -1.60
# - energy relative to the elements (eV per atom) = -0.296
# - Fermi-level density of states (states/eV per cell) = 6.969